1.
Entry from Alexandria via LeMat-Bulk: a relaxed TiAl2Te6 crystal (PBE-GGA).

Cell: 7.5549 8.9712 8.9712 Å, 87.58 79.09 79.09°
Atoms (fractional coordinates):
1 Ti 0.2500 0.1028 0.8972
2 Ti 0.7500 0.8972 0.1028
3 Al 0.1851 0.6005 0.7793
4 Al 0.3149 0.2207 0.3995
5 Al 0.8149 0.3995 0.2207
6 Al 0.6851 0.7793 0.6005
7 Te 0.4090 0.6660 0.5211
8 Te 0.0910 0.4789 0.3340
9 Te 0.5910 0.3340 0.4789
10 Te 0.9090 0.5211 0.6660
11 Te 0.8072 0.9585 0.3806
12 Te 0.6928 0.6194 0.0415
13 Te 0.1928 0.0415 0.6194
14 Te 0.3072 0.3806 0.9585
15 Te 0.1217 0.8206 0.9751
16 Te 0.3783 0.0249 0.1794
17 Te 0.8783 0.1794 0.0249
18 Te 0.6217 0.9751 0.8206

Summary:
spin magnetization	0.0	μB/cell
uncorrected formation energy	-364	meV per atom

=====

2.
Entry from Alexandria via LeMat-Bulk: a relaxed ZnIr2Pb crystal (PBE-GGA).

Cell: 4.1749 4.1749 9.4083 Å, 77.18 77.18 90.00°
Atoms (fractional coordinates):
1 Pb 0.0000 0.0000 0.0000
2 Pb 0.7500 0.2500 0.5000
3 Zn 0.5000 0.5000 0.0000
4 Zn 0.2500 0.7500 0.5000
5 Ir 0.5520 0.1250 0.2500
6 Ir 0.1980 0.6250 0.2500
7 Ir 0.3750 0.4480 0.7500
8 Ir 0.8750 0.8020 0.7500

Summary:
spin magnetization	0.0	μB/cell
E above lowest polymorph	0.950	eV/f.u.
ΔE_f	0.453	eV per atom

=====

3.
Entry from Alexandria via LeMat-Bulk: a relaxed Sm7Sn2C2 crystal (PBE-GGA).

Cell: 3.5747 9.4024 9.4024 Å, 69.01 79.04 79.04°
Atoms (fractional coordinates):
1 Sm 0.8098 0.1090 0.2714
2 Sm 0.8416 0.3866 0.9302
3 Sm 0.5000 0.0434 0.9566
4 Sm 0.6373 0.4617 0.2638
5 Sm 0.3627 0.7362 0.5383
6 Sm 0.1902 0.7286 0.8910
7 Sm 0.1584 0.0698 0.6134
8 Sn 0.0000 0.7804 0.2196
9 Sn 0.5000 0.3597 0.6403
10 C 0.7372 0.8521 0.6735
11 C 0.2628 0.3265 0.1479

Summary:
spin magnetization	0.0	μB/cell
ΔE_f	-0.208	eV per atom

=====

4.
Entry from Alexandria via LeMat-Bulk: a relaxed TlP2 crystal (PBE-GGA).

Cell: 7.8604 7.8604 5.8591 Å, 90.00 90.00 155.77°
Atoms (fractional coordinates):
1 Tl 0.0985 0.9015 0.7500
2 Tl 0.9015 0.0985 0.2500
3 P 0.7967 0.2033 0.7500
4 P 0.3884 0.6116 0.7500
5 P 0.2033 0.7967 0.2500
6 P 0.6116 0.3884 0.2500

Summary:
spin magnetization	0.0	μB/cell
E above lowest polymorph	0.241	eV/f.u.
ΔE_f	0.118	eV per atom

=====

5.
Entry from Alexandria via LeMat-Bulk: a relaxed CaTcC crystal (PBE-GGA).

Cell: 3.4240 4.8282 6.1684 Å, 82.37 90.11 69.32°
Atoms (fractional coordinates):
1 Ca 0.1529 0.8260 0.6710
2 Ca 0.3930 0.3496 0.3759
3 Tc 0.9054 0.3241 0.9547
4 Tc 0.6404 0.8515 0.0922
5 C 0.4690 0.1959 0.8113
6 C 0.0768 0.9798 0.2355

Summary:
spin magnetization	0.0	μB/cell
E above lowest polymorph	0.000	eV/f.u.
ΔE_f	0.071	eV per atom

=====

6.
Entry from Alexandria via LeMat-Bulk: a relaxed Dy2MgPb4 crystal (PBE-GGA).

Cell: 3.6319 6.3579 9.9478 Å, 108.09 100.52 90.00°
Atoms (fractional coordinates):
1 Dy 0.7555 0.7550 0.5110
2 Dy 0.2445 0.2450 0.4890
3 Mg 0.0000 0.0000 0.0000
4 Pb 0.8866 0.2314 0.7733
5 Pb 0.1134 0.7686 0.2267
6 Pb 0.6097 0.3225 0.2194
7 Pb 0.3903 0.6775 0.7806

Summary:
spin magnetization	0.0	μB/cell
ΔE_f	-0.116	eV per atom

=====

7.
Entry from Alexandria via LeMat-Bulk: a relaxed Pr4Nd2DyTh crystal (PBE-GGA).

Cell: 6.1507 6.1376 9.5660 Å, 50.29 90.00 90.00°
Atoms (fractional coordinates):
1 Pr 0.0000 0.7440 0.7560
2 Pr 0.0000 0.2560 0.2440
3 Pr 0.5000 0.7556 0.2443
4 Pr 0.5000 0.2444 0.7557
5 Nd 0.0000 0.0000 0.0000
6 Nd 0.5000 0.0000 0.5000
7 Dy 0.0000 0.5000 0.5000
8 Th 0.5000 0.5000 0.0000

Summary:
spin magnetization	0.0	μB/cell
ΔE_f	0.131	eV per atom

=====

8.
Entry from Alexandria via LeMat-Bulk: a relaxed ZrZn2In2 crystal (PBE-GGA).

Cell: 7.9618 7.9618 3.2324 Å, 90.00 90.00 90.00°
Atoms (fractional coordinates):
1 Zn 0.1662 0.6662 0.5000
2 Zn 0.6662 0.8338 0.5000
3 Zn 0.8338 0.3338 0.5000
4 Zn 0.3338 0.1662 0.5000
5 Zr 0.0000 0.0000 0.0000
6 Zr 0.5000 0.5000 0.0000
7 In 0.3651 0.8651 0.0000
8 In 0.8651 0.6349 0.0000
9 In 0.6349 0.1349 0.0000
10 In 0.1349 0.3651 0.0000

Summary:
spin magnetization	0.0	μB/cell
E above lowest polymorph	0.587	eV/f.u.
ΔE_f	0.070	eV per atom

=====

| no. | mass density (g cm⁻³) |
| --- | --- |
| 1 | 4.91 |
| 2 | 14.01 |
| 3 | 7.60 |
| 4 | 5.95 |
| 5 | 5.28 |
| 6 | 9.13 |
| 7 | 7.45 |
| 8 | 7.32 |